TlAgBAu | GGA-PBE | optimized geometry

a b c (Å): 6.6303 6.6303 6.6303
angles (deg): 90.00 90.00 90.00
Last column: nearest neighbours and their distance in Å.
Space group F-43m (No. 216)
One atom of each set of equivalent atoms:
Tl: 0.0000 0.0000 0.0000 [4 per cell]  4 B 2.87, 4 Ag 2.87
Ag: 0.2500 0.2500 0.7500 [4 per cell]  4 Tl 2.87, 4 Au 2.87
B: 0.2500 0.2500 0.2500 [4 per cell]  4 Tl 2.87, 4 Au 2.87
Au: 0.0000 0.0000 0.5000 [4 per cell]  4 B 2.87, 4 Ag 2.87

Results
- Calculated volume: 18.217 A^3/atom
- E_tot: -45.18 eV per cell
- Excess energy over the best structure of this formula in the dataset: 0.17 kJ/mol of atoms